BaTmCo4O7, relaxed, DFT GGA+U; space group = Pna2_1; magnetization = 13.00 μB/f.u.; raw total energy = -6.52 eV per atom; volume = 697 Å³/cell; crystal system = orthorhombic
1.0
-9.0517 5.8953 -1.3142
-3.0705 -3.8492 3.8816
2.6671 5.8612 7.9221
O Tm Co Ba
28 4 16 4
Direct
0.5637 0.2148 0.9953
0.7449 0.7827 0.2818
0.0050 0.0040 0.7464
0.7551 0.2827 0.7818
0.8913 0.2252 0.4998
0.1087 0.7748 0.9998
0.0116 0.4994 0.7443
0.0637 0.2852 0.9953
0.3375 0.5332 0.0070
0.2449 0.7173 0.2818
0.6625 0.4668 0.5070
0.5116 0.0006 0.7443
0.7472 0.7645 0.7270
0.7528 0.2645 0.2270
0.9884 0.5006 0.2443
0.6087 0.7252 0.9998
0.4363 0.7852 0.4953
0.9363 0.7148 0.4953
0.8375 0.9668 0.0070
0.4950 0.5040 0.2464
0.3913 0.2748 0.4998
0.4884 0.9994 0.2443
0.2472 0.7355 0.7270
0.1625 0.0332 0.5070
0.2528 0.2355 0.2270
0.2551 0.2173 0.7818
0.9950 0.9960 0.2464
0.5050 0.4960 0.7464
0.8307 0.4920 0.3759
0.6693 0.9920 0.8759
0.3307 0.0080 0.3759
0.1693 0.5080 0.8759
0.5786 0.2438 0.1818
0.0855 0.7402 0.1873
0.4935 0.5074 0.4412
0.0786 0.2562 0.1818
0.4145 0.2402 0.6873
0.3260 0.5027 0.1883
0.5065 0.4926 0.9412
0.5855 0.7598 0.1873
0.9935 0.9926 0.4412
0.4214 0.7562 0.6818
0.6740 0.4973 0.6883
0.0065 0.0074 0.9412
0.1740 0.0027 0.6883
0.8260 0.9973 0.1883
0.9145 0.2598 0.6873
0.9214 0.7438 0.6818
0.3399 0.9987 0.0034
0.8399 0.5013 0.0034
0.1601 0.4987 0.5034
0.6601 0.0013 0.5034